Version 1
Material: Zr4AlPd
Method: DFT, GGA-PBE
State: relaxed

Lattice parameters (Å, degrees): 6.915 6.915 5.179 90.00 90.00 90.00
Space group I422 (No. 97)
Inequivalent atoms, fractional coordinates:
Zr (0.154, 0.346, 0.250) x8
Al (0.000, 0.000, 0.500) x2
Pd (0.000, 0.000, 0.000) x2

## Properties
Calculated volume ... 248 Å³ per cell

=====

Version 2
Material: Zr4AlPd
Method: DFT, GGA-PBE
State: relaxed

Lattice parameters (Å, degrees): 7.827 12.690 5.398 90.00 109.89 90.00
Space group C2/c (No. 15)
Inequivalent atoms, fractional coordinates:
Zr (0.101, 0.195, 0.061) x8
Zr (0.201, 0.410, 0.359) x8
Al (0.000, 0.387, 0.750) x4
Pd (0.000, 0.006, 0.750) x4

## Properties
Calculated volume ... 504 Å³ per cell

=====

Calculated relative energies: version 1 0.0; version 2 10.5, given in kJ/mol of atoms